An optimized crystal structure of Li2FeIr. Source: Alexandria, functional PBE.

abc: 3.537 3.537 4.240
angles: 90.00 90.00 90.00
Atoms (fractional coordinates):
Li 0.000 0.500 0.000
Li 0.500 0.000 0.000
Fe 0.000 0.000 0.500
Ir 0.500 0.500 0.500

Properties
- Mass density: 8199 kg/m³
- Raw total energy: -5.252 eV/atom
- M_tot: 0.791 μB per atom
- Formation energy from the elements: 3.45 kJ per mole of atoms